Density functional theory data (PBE) for a relaxed structure of Ti3NbHg.

Cell and atoms, written as POSCAR:
```
Ti3NbHg
1.0
7.2368 0.0000 0.0000
0.0000 3.3884 0.0000
-0.0287 0.0000 7.3208
Ti Nb Hg
6 2 2
direct
0.1373 0.2500 0.0570
0.2256 0.7500 0.7516
0.3420 0.2500 0.4640
0.6580 0.7500 0.5360
0.7744 0.2500 0.2484
0.8627 0.7500 0.9430
0.0538 0.7500 0.3526
0.9462 0.2500 0.6474
0.4547 0.7500 0.1631
0.5453 0.2500 0.8369
```

Volume: 180 Å³/cell
Magnetic moment: 0.0 μB per cell
DFT formation energy: -0.03 eV per atom
Offset from the most stable computed form: 0.0 meV per atom

---

Density functional theory data (PBE) for a relaxed structure of CoSbTe2.

Cell and atoms, written as POSCAR:
```
CoSbTe2
1.0
-1.6594 2.4243 5.9931
1.6594 -2.4243 5.9931
1.6594 2.4243 -5.9931
Co Sb Te
1 1 2
direct
0.0000 0.0000 0.0000
0.1736 0.6736 0.5000
0.5125 0.5125 0.0000
0.8332 0.3332 0.5000
```

Volume: 96 Å³/cell
Magnetic moment: 0.0 μB per cell
Formation energy (no corrections): 0.174 eV/atom

---

Density functional theory data (PBE) for a relaxed structure of RbAsO3.

Cell and atoms, written as POSCAR:
```
RbAsO3
1.0
7.0522 -1.8300 0.0000
7.0522 1.8300 0.0000
-0.9634 0.0000 7.0753
Rb As O
2 2 6
direct
0.1186 0.1186 0.3625
0.8814 0.8814 0.6375
0.3587 0.3587 0.1057
0.6413 0.6413 0.8943
0.1641 0.1641 0.9822
0.3588 0.3588 0.3437
0.4938 0.4938 0.1026
0.5062 0.5062 0.8974
0.6412 0.6412 0.6563
0.8359 0.8359 0.0178
```

Volume: 183 Å³/cell
Magnetic moment: 0.0 μB per cell
Formation energy (no corrections): -1.143 eV/atom

---

Density functional theory data (PBE) for a relaxed structure of Na3HoTm2S6.

Cell and atoms, written as POSCAR:
```
Na3HoTm2S6
1.0
3.4146 -5.9135 0.0000
3.4146 5.9135 0.0000
-2.2763 0.0000 6.6746
Na Ho Tm S
3 1 2 6
direct
0.0000 0.0000 0.0000
0.3337 0.6663 0.0000
0.6663 0.3337 0.0000
0.5000 0.5000 0.5000
0.1668 0.8332 0.5000
0.8332 0.1668 0.5000
0.0897 0.4252 0.2755
0.2394 0.2394 0.7246
0.4252 0.0897 0.2755
0.5748 0.9103 0.7245
0.7606 0.7606 0.2754
0.9103 0.5748 0.7245
```

Volume: 270 Å³/cell
Magnetic moment: 0.0 μB per cell
Formation energy (no corrections): -1.854 eV/atom

---

Density functional theory data (PBE) for a relaxed structure of Ho3InIr2.

Cell and atoms, written as POSCAR:
```
Ho3InIr2
1.0
-3.3281 6.5452 3.5052
3.3281 -6.5452 3.5052
3.3281 6.5452 -3.5052
Ho In Ir
6 2 4
direct
0.0280 0.7500 0.2780
0.2500 0.2500 0.0000
0.4720 0.7500 0.7220
0.5280 0.2500 0.2780
0.7500 0.7500 0.0000
0.9720 0.2500 0.7220
0.0000 0.5000 0.5000
0.5000 0.0000 0.5000
0.1382 0.2044 0.3426
0.3618 0.7044 0.0662
0.6382 0.2956 0.9338
0.8618 0.7956 0.6574
```

Volume: 305 Å³/cell
Magnetic moment: 0.0 μB per cell
DFT formation energy: -0.67 eV per atom
Offset from the most stable computed form: 60.3 meV per atom

---

Density functional theory data (PBE) for a relaxed structure of La2ZrGe3Ir4.

Cell and atoms, written as POSCAR:
```
La2ZrGe3Ir4
1.0
4.2327 0.0000 0.0000
0.0000 4.2327 0.0000
0.0000 0.0000 11.0356
La Zr Ge Ir
2 1 3 4
direct
0.0000 0.5000 0.2368
0.5000 0.0000 0.7632
0.0000 0.0000 0.5000
0.0000 0.5000 0.8765
0.5000 0.0000 0.1235
0.5000 0.5000 0.5000
0.0000 0.0000 0.0000
0.0000 0.5000 0.6488
0.5000 0.0000 0.3512
0.5000 0.5000 0.0000
```

Volume: 198 Å³/cell
Magnetic moment: 0.0 μB per cell
DFT formation energy: -0.84 eV per atom

---

Density functional theory data (PBE) for a relaxed structure of Ac3AgRh.

Cell and atoms, written as POSCAR:
```
Ac3AgRh
1.0
5.9762 0.0000 0.0000
2.9874 6.5359 0.0000
0.0095 3.7643 8.6832
Ac Ag Rh
6 2 2
direct
0.1068 0.2852 0.2276
0.1714 0.1603 0.6459
0.3833 0.7319 0.1086
0.6167 0.2681 0.8914
0.8286 0.8397 0.3541
0.8932 0.7148 0.7724
0.3913 0.7133 0.5285
0.6087 0.2867 0.4715
0.1351 0.2314 0.9316
0.8649 0.7686 0.0684
```

Volume: 339 Å³/cell
Magnetic moment: 0.0 μB per cell
DFT formation energy: -0.37 eV per atom
Offset from the most stable computed form: 63.9 meV per atom

---

Density functional theory data (PBE) for a relaxed structure of Ho5Er3Sc2.

Cell and atoms, written as POSCAR:
```
Ho5Er3Sc2
1.0
9.1631 0.0000 0.0000
-3.9182 8.2848 0.0000
-2.6286 -4.1373 7.7514
Ho Er Sc
10 6 4
direct
0.0233 0.1753 0.4486
0.1280 0.8781 0.2500
0.2268 0.5749 0.0516
0.2749 0.9269 0.9525
0.3776 0.6275 0.7497
0.6224 0.3725 0.2503
0.7251 0.0731 0.0475
0.7732 0.4251 0.9484
0.8720 0.1219 0.7500
0.9767 0.8247 0.5514
0.0777 0.5259 0.3499
0.3241 0.2723 0.8496
0.4743 0.3225 0.5476
0.5257 0.6775 0.4524
0.6759 0.7277 0.1504
0.9223 0.4741 0.6501
0.1727 0.2228 0.1490
0.4262 0.9761 0.6483
0.5738 0.0239 0.3517
0.8273 0.7772 0.8510
```

Volume: 588 Å³/cell
Magnetic moment: 0.0 μB per cell
DFT formation energy: 0.04 eV per atom

---

Density functional theory data (PBE) for a relaxed structure of MgMn2P.

Cell and atoms, written as POSCAR:
```
MgMn2P
1.0
-1.6024 2.0285 4.3588
1.6024 -2.0285 4.3588
1.6024 2.0285 -4.3588
Mg Mn P
1 2 1
direct
0.0000 0.0000 0.0000
0.2748 0.7748 0.5000
0.5605 0.5605 0.0000
0.7474 0.2474 0.5000
```

Volume: 57 Å³/cell
Magnetic moment: 5.6 μB per cell
DFT formation energy: -0.01 eV per atom

---

Density functional theory data (PBE) for a relaxed structure of BaHfAs2.

Cell and atoms, written as POSCAR:
```
BaHfAs2
1.0
0.0000 3.6532 3.6532
3.6532 0.0000 3.6532
3.6532 3.6532 0.0000
Ba Hf As
1 1 2
direct
0.0000 0.0000 0.0000
0.5000 0.5000 0.5000
0.2500 0.2500 0.2500
0.7500 0.7500 0.7500
```

Volume: 98 Å³/cell
Magnetic moment: 0.0 μB per cell
DFT formation energy: -0.36 eV per atom
Offset from the most stable computed form: 683.3 meV per atom

---

Density functional theory data (PBE) for a relaxed structure of HfTc3Ni.

Cell and atoms, written as POSCAR:
```
HfTc3Ni
1.0
4.4437 0.0000 0.0000
0.0000 4.4437 0.0000
0.0000 0.0000 4.4437
Hf Tc Ni
1 3 1
direct
0.0000 0.0000 0.0000
0.0000 0.5000 0.5000
0.5000 0.0000 0.5000
0.5000 0.5000 0.0000
0.5000 0.5000 0.5000
```

Volume: 88 Å³/cell
Magnetic moment: 2.0 μB per cell
DFT formation energy: 0.99 eV per atom
Offset from the most stable computed form: 0.0 meV per atom

---

Density functional theory data (PBE) for a relaxed structure of CrCuSe2.

Cell and atoms, written as POSCAR:
```
CrCuSe2
1.0
4.7719 0.0000 0.0000
0.0000 2.4950 3.2200
0.0000 -2.4950 3.2200
Cr Cu Se
1 1 2
direct
0.0000 0.0000 0.0000
0.5000 0.2530 0.2530
0.0000 0.3894 0.3894
0.5000 0.8688 0.8688
```

Volume: 77 Å³/cell
Magnetic moment: 3.4 μB per cell
Formation energy (no corrections): -0.223 eV/atom
Offset from the most stable computed form: 146.0 meV per atom

---

> Look up the magnetic moment of the eleventh one.

2.0 μB per cell

---

> Which of these has the lowest volume?

MgMn2P

---

> Look up the magnetic moment of the tenth one.

0.0 μB per cell